# PBE Sm2GaIr, relaxed
data_Sm2GaIr
_cell_length_a 3.9825
_cell_length_b 3.9825
_cell_length_c 23.2742
_cell_angle_alpha 90.00
_cell_angle_beta 90.00
_cell_angle_gamma 120.00
_symmetry_space_group_name_H-M 'R -3 m'
_symmetry_Int_Tables_number 166
_symmetry_space_group_name_Hall '-R 3 2"'
loop_
_atom_site_label
_atom_site_type_symbol
_atom_site_fract_x
_atom_site_fract_y
_atom_site_fract_z
Sm1 Sm 0.0000 0.0000 0.2380
Ga1 Ga 0.0000 0.0000 0.0000
Ir1 Ir 0.0000 0.0000 0.5000
# Formation energy from the elements: -471 meV/atom
# Magnetic moment: 0.00 μB/f.u.